(1)
VASP calculation (GGA-PBE) on a geometry-optimized CaY2B structure.

Lattice parameters (Å, degrees): 8.2745 8.2745 6.3666 90.00 90.00 90.00
Last column: nearest neighbours and their distance in Å.
Space group I-42d (No. 122)
Asymmetric unit:
Ca 0.0000 0.0000 0.0000 [4 per cell]  2 B 3.18, 4 Y 3.41
Y 0.1545 0.2500 0.6250 [8 per cell]  2 B 2.56
B 0.0000 0.0000 0.5000 [4 per cell]  4 Y 2.56

Summary:
As for the density of states at the Fermi level: 24.472 states/eV per cell. The theoretical density is 3485 kg/m³. The formation energy is 0.28 eV/atom.



(2)
VASP calculation (GGA-PBE) on a geometry-optimized CaYB structure.

Lattice parameters (Å, degrees): 3.2736 6.9056 6.9318 73.09 89.93 89.74
Last column: nearest neighbours and their distance in Å.
Space group P1 (No. 1)
Asymmetric unit:
Ca 0.0000 0.0000 0.0000 [1 per cell]  3 B 2.75-2.89
Ca 0.4999 0.0048 0.5016 [1 per cell]  3 B 2.76-2.88
Y 0.4954 0.5206 0.3496 [1 per cell]  3 B 2.55-2.69
Y 0.9944 0.5085 0.8685 [1 per cell]  3 B 2.55-2.67
B 0.4968 0.2890 0.7108 [1 per cell]  2 B 1.73
B 0.9969 0.2879 0.6304 [1 per cell]  2 B 1.73

Summary:
As for the density of states at the Fermi level: 3.997 states/eV per cell. As for the energy above the lowest structure with this stoichiometry: 0.127 eV per atom. The theoretical density is 3097 kg/m³. The formation energy is -0.07 eV/atom.